A geometry-optimized CaPmGeAs structure. Source: Alexandria, functional PBE.

abc: 7.3263 7.3263 7.3263
angles: 90.00 90.00 90.00
Last column: nearest neighbours and their distance in Å.
Space group F-43m (No. 216)
Symmetry-distinct sites (fractional):
Ca 0.0000 0.0000 0.0000 x4  4 Ge 3.17, 4 As 3.17
Pm 0.0000 0.0000 0.5000 x4  4 As 3.17, 4 Ge 3.17
Ge 0.2500 0.2500 0.2500 x4  4 Ca 3.17, 4 Pm 3.17
As 0.2500 0.2500 0.7500 x4  4 Ca 3.17, 4 Pm 3.17

Values from the calculation:
**E_form**: -0.691 eV per atom
**Raw total energy**: -4.70 eV per atom
**Density**: 5619 kg/m³